Crystalline TlTcRu at its relaxed geometry. Source: the Alexandria database, functional PBE-GGA.

CIF file:
```
data_TlTcRu
_chemical_formula_sum 'Tl1 Tc1 Ru1'
_symmetry_space_group_name_H-M 'P 3 m 1'
_symmetry_Int_Tables_number 156
_symmetry_space_group_name_Hall 'P 3 -2"'
_cell_length_a 2.9194
_cell_length_b 2.9194
_cell_length_c 6.9897
_cell_angle_alpha 90.00
_cell_angle_beta 90.00
_cell_angle_gamma 120.00
loop_
_atom_site_label
_atom_site_type_symbol
_atom_site_fract_x
_atom_site_fract_y
_atom_site_fract_z
Tl1 Tl 0.0000 0.0000 0.0000
Tc1 Tc 0.3333 0.6667 0.6387
Ru1 Ru 0.6667 0.3333 0.3571
```

Results
The calculation puts the spin magnetization at 0.000 μB per cell. The value obtained for the offset from the most stable computed form is 156 meV/atom.

Crystalline LaZnMo at its relaxed geometry. Source: the Alexandria database, functional PBE-GGA.

CIF file:
```
data_LaZnMo
_chemical_formula_sum 'La2 Zn2 Mo2'
_symmetry_space_group_name_H-M 'I 4 m m'
_symmetry_Int_Tables_number 107
_symmetry_space_group_name_Hall 'I 4 -2'
_cell_length_a 2.936
_cell_length_b 2.936
_cell_length_c 14.058
_cell_angle_alpha 90.00
_cell_angle_beta 90.00
_cell_angle_gamma 90.00
loop_
_atom_site_label
_atom_site_type_symbol
_atom_site_fract_x
_atom_site_fract_y
_atom_site_fract_z
La1 La 0.000 0.000 0.000
Zn1 Zn 0.000 0.000 0.318
Mo1 Mo 0.000 0.000 0.688
```

Results
The calculation puts the spin magnetization at 0.000 μB per cell. The value obtained for the offset from the most stable computed form is 66 meV/atom.

Crystalline Cu2IrAu at its relaxed geometry. Source: the Alexandria database, functional PBE-GGA.

CIF file:
```
data_Cu2IrAu
_chemical_formula_sum 'Cu2 Ir1 Au1'
_symmetry_space_group_name_H-M 'P 4/m m m'
_symmetry_Int_Tables_number 123
_symmetry_space_group_name_Hall '-P 4 2'
_cell_length_a 4.411
_cell_length_b 4.411
_cell_length_c 2.891
_cell_angle_alpha 90.00
_cell_angle_beta 90.00
_cell_angle_gamma 90.00
loop_
_atom_site_label
_atom_site_type_symbol
_atom_site_fract_x
_atom_site_fract_y
_atom_site_fract_z
Cu1 Cu 0.000 0.500 0.000
Ir1 Ir 0.000 0.000 0.500
Au1 Au 0.500 0.500 0.500
```

Results
The calculation puts the spin magnetization at 0.000 μB per cell. The calculation puts the raw total energy at -4.93 eV/atom.

Crystalline MnAl at its relaxed geometry. Source: the Alexandria database, functional PBE-GGA.

CIF file:
```
data_MnAl
_chemical_formula_sum 'Mn6 Al6'
_symmetry_space_group_name_H-M 'R -3 m'
_symmetry_Int_Tables_number 166
_symmetry_space_group_name_Hall '-R 3 2"'
_cell_length_a 2.6828
_cell_length_b 2.6828
_cell_length_c 24.7901
_cell_angle_alpha 90.00
_cell_angle_beta 90.00
_cell_angle_gamma 120.00
loop_
_atom_site_label
_atom_site_type_symbol
_atom_site_fract_x
_atom_site_fract_y
_atom_site_fract_z
Mn1 Mn 0.0000 0.0000 0.1307
Al1 Al 0.0000 0.0000 0.3808
```

Results
The calculation puts the spin magnetization at 0.296 μB per cell. The calculation puts the raw total energy at -6.49 eV/atom.

Crystalline Sm6BiP4 at its relaxed geometry. Source: the Alexandria database, functional PBE-GGA.

CIF file:
```
data_Sm6BiP4
_chemical_formula_sum 'Sm24 Bi4 P16'
_symmetry_space_group_name_H-M 'C m c m'
_symmetry_Int_Tables_number 63
_symmetry_space_group_name_Hall '-C 2c 2'
_cell_length_a 4.178
_cell_length_b 13.549
_cell_length_c 20.998
_cell_angle_alpha 90.00
_cell_angle_beta 90.00
_cell_angle_gamma 90.00
loop_
_atom_site_label
_atom_site_type_symbol
_atom_site_fract_x
_atom_site_fract_y
_atom_site_fract_z
Sm1 Sm 0.000 0.000 0.000
Sm2 Sm 0.000 0.162 0.250
Sm3 Sm 0.000 0.272 0.580
Sm4 Sm 0.000 0.462 0.156
Bi1 Bi 0.000 0.161 0.750
P1 P 0.000 0.093 0.124
P2 P 0.000 0.363 0.041
```

Results
The calculation puts the spin magnetization at 2.388 μB per cell. The calculation puts the raw total energy at -6.26 eV/atom.

Crystalline TaRe2Pt at its relaxed geometry. Source: the Alexandria database, functional PBE-GGA.

CIF file:
```
data_TaRe2Pt
_chemical_formula_sum 'Ta4 Re8 Pt4'
_symmetry_space_group_name_H-M 'F m -3 m'
_symmetry_Int_Tables_number 225
_symmetry_space_group_name_Hall '-F 4 2 3'
_cell_length_a 6.347
_cell_length_b 6.347
_cell_length_c 6.347
_cell_angle_alpha 90.00
_cell_angle_beta 90.00
_cell_angle_gamma 90.00
loop_
_atom_site_label
_atom_site_type_symbol
_atom_site_fract_x
_atom_site_fract_y
_atom_site_fract_z
Ta1 Ta 0.000 0.000 0.000
Re1 Re 0.250 0.250 0.250
Pt1 Pt 0.000 0.000 0.500
```

Results
The calculation puts the spin magnetization at 0.000 μB per cell. The value obtained for the offset from the most stable computed form is 428 meV/atom.

Crystalline SnIrS2Cl at its relaxed geometry. Source: the Alexandria database, functional PBE-GGA.

CIF file:
```
data_SnIrS2Cl
_chemical_formula_sum 'Sn1 Ir1 S2 Cl1'
_symmetry_space_group_name_H-M 'P 4/m m m'
_symmetry_Int_Tables_number 123
_symmetry_space_group_name_Hall '-P 4 2'
_cell_length_a 5.042
_cell_length_b 5.042
_cell_length_c 4.904
_cell_angle_alpha 90.00
_cell_angle_beta 90.00
_cell_angle_gamma 90.00
loop_
_atom_site_label
_atom_site_type_symbol
_atom_site_fract_x
_atom_site_fract_y
_atom_site_fract_z
Sn1 Sn 0.000 0.000 0.000
Ir1 Ir 0.500 0.500 0.500
S1 S 0.000 0.500 0.000
Cl1 Cl 0.000 0.000 0.500
```

Results
The calculation puts the spin magnetization at 2.830 μB per cell. The value obtained for the offset from the most stable computed form is 1007 meV/atom.

Crystalline TcSn3 at its relaxed geometry. Source: the Alexandria database, functional PBE-GGA.

CIF file:
```
data_TcSn3
_chemical_formula_sum 'Tc2 Sn6'
_symmetry_space_group_name_H-M 'I m m m'
_symmetry_Int_Tables_number 71
_symmetry_space_group_name_Hall '-I 2 2'
_cell_length_a 3.182
_cell_length_b 4.492
_cell_length_c 13.225
_cell_angle_alpha 90.00
_cell_angle_beta 90.00
_cell_angle_gamma 90.00
loop_
_atom_site_label
_atom_site_type_symbol
_atom_site_fract_x
_atom_site_fract_y
_atom_site_fract_z
Tc1 Tc 0.000 0.000 0.000
Sn1 Sn 0.000 0.000 0.500
Sn2 Sn 0.000 0.500 0.320
```

Results
The calculation puts the spin magnetization at 0.000 μB per cell. The value obtained for the offset from the most stable computed form is 113 meV/atom.